# 1
Th2TaP3Ir4 | GGA-PBE | optimized geometry

Properties
As for the energy relative to the elements: -0.923 eV per atom. The value obtained for the density of states at the Fermi level is 0.244 states/eV/atom.

Lattice parameters (Å, degrees): 4.117 4.117 10.511 90.00 90.00 90.00
Space group P-4m2 (No. 115)
Symmetry-distinct sites (fractional):
Th  0.000  0.500  0.235 x2
Ta  0.000  0.000  0.500 x1
P  0.000  0.500  0.866 x2
P  0.500  0.500  0.500 x1
Ir  0.000  0.000  0.000 x1
Ir  0.000  0.500  0.640 x2
Ir  0.500  0.500  0.000 x1

---

# 2
TaHgTe2 | GGA-PBE | optimized geometry

Properties
The value obtained for the density of states at the Fermi level is 0.974 states/eV/atom. The value obtained for the raw formation energy is 0.409 eV per atom.

Lattice parameters (Å, degrees): 4.169 4.169 6.034 90.00 90.00 90.00
Space group P4/mmm (No. 123)
Symmetry-distinct sites (fractional):
Ta  0.000  0.000  0.000 x1
Hg  0.500  0.500  0.500 x1
Te  0.000  0.000  0.500 x1
Te  0.500  0.500  0.000 x1

---

# 3
LuZrIrPt | GGA-PBE | optimized geometry

Properties
As for the energy relative to the elements: -0.969 eV per atom. The value obtained for the density of states at the Fermi level is 1.038 states/eV/atom.

Lattice parameters (Å, degrees): 6.728 6.728 6.728 90.00 90.00 90.00
Space group F-43m (No. 216)
Symmetry-distinct sites (fractional):
Lu  0.000  0.000  0.000 x4
Zr  0.000  0.000  0.500 x4
Ir  0.250  0.250  0.250 x4
Pt  0.250  0.250  0.750 x4

---

# 4
MgZr2CdS | GGA-PBE | optimized geometry

Properties
The value obtained for the density of states at the Fermi level is 0.534 states/eV/atom. For the offset from the most stable computed form, the calculation gives 0 meV per atom. The value obtained for the raw formation energy is -0.141 eV per atom.

Lattice parameters (Å, degrees): 4.844 4.844 5.068 90.00 90.00 90.00
Space group P4/mmm (No. 123)
Symmetry-distinct sites (fractional):
Mg  0.000  0.000  0.000 x1
Zr  0.000  0.500  0.500 x2
Cd  0.500  0.500  0.000 x1
S  0.500  0.500  0.500 x1